Record 1
First-principles (GGA-PBE) data for crystalline BeCuSbMo at its relaxed geometry, as listed in OQMD.

The structure in extended XYZ format:
```
4
Lattice="-1.957 -2.102 3.331 -3.770 -2.162 -0.676 -0.061 -4.397 0.094" Properties=species:S:1:pos:R:3 pbc="T T T"
Mo -1.447 -2.165 0.687
Cu -4.341 -6.495 2.062
Sb 0.000 0.000 0.000
Be -2.894 -4.330 1.374
```

Computed properties:
* excess energy over the best structure of this formula in the dataset: 0 meV/atom
* final energy: -5.099 eV/atom

Record 2
First-principles (GGA-PBE) data for crystalline BeZnCuMo at its relaxed geometry, as listed in OQMD.

The structure in extended XYZ format:
```
4
Lattice="0.000 2.944 2.944 2.944 0.000 2.944 2.944 2.944 0.000" Properties=species:S:1:pos:R:3 pbc="T T T"
Cu 4.416 4.416 4.416
Mo 1.472 1.472 1.472
Zn 0.000 0.000 0.000
Be 2.944 2.944 2.944
```

Computed properties:
* excess energy over the best structure of this formula in the dataset: 5 meV/atom
* final energy: -4.600 eV/atom

Record 3
First-principles (GGA-PBE) data for crystalline BeZnCuMo at its relaxed geometry, as listed in OQMD.

The structure in extended XYZ format:
```
4
Lattice="0.000 2.936 2.936 2.936 0.000 2.936 2.936 2.936 0.000" Properties=species:S:1:pos:R:3 pbc="T T T"
Mo 2.936 2.936 2.936
Cu 4.404 4.404 4.404
Be 1.468 1.468 1.468
Zn 0.000 0.000 0.000
```

Computed properties:
* excess energy over the best structure of this formula in the dataset: 0 meV/atom
* final energy: -4.604 eV/atom

Record 4
First-principles (GGA-PBE) data for crystalline BeNbCuP2 at its relaxed geometry, as listed in OQMD.

The structure in extended XYZ format:
```
5
Lattice="-0.354 -2.701 -2.437 1.330 -0.706 3.331 -5.628 -1.083 2.017" Properties=species:S:1:pos:R:3 pbc="T T T"
P -3.979 -2.841 0.985
Nb -4.835 -2.449 3.416
Cu -1.878 -2.438 0.233
Be -3.591 -0.691 1.287
P -1.419 -0.273 0.509
```

Computed properties:
* final energy: -5.956 eV/atom